[1]
VASP calculation (PBE) on a relaxed structure of Tb2ZrUAs4.

Lattice parameters (Å, degrees): 4.037 6.992 7.047 109.06 90.00 90.00
Positions (direct):
Tb  0.500  0.000  0.500
Tb  0.000  0.500  0.500
Zr  0.000  0.000  0.000
U  0.500  0.500  0.000
As  0.500  0.242  0.238
As  0.500  0.758  0.762
As  0.000  0.247  0.757
As  0.000  0.753  0.243

Properties
- ΔH_f (0 K) (eV/atom) = -1.226
- crystal system = monoclinic
- volume (A^3/atom) = 23.50

[2]
VASP calculation (PBE) on a relaxed structure of TmSi4Ni12.

Lattice parameters (Å, degrees): 6.704 6.704 6.704 109.47 109.47 109.47
Positions (direct):
Tm  0.000  0.000  0.000
Si  0.000  0.500  0.000
Si  0.500  0.000  0.000
Si  0.500  0.500  0.500
Si  0.000  0.000  0.500
Ni  0.842  0.350  0.191
Ni  0.350  0.508  0.158
Ni  0.809  0.158  0.650
Ni  0.350  0.191  0.842
Ni  0.191  0.842  0.350
Ni  0.650  0.492  0.842
Ni  0.508  0.158  0.350
Ni  0.492  0.842  0.650
Ni  0.650  0.809  0.158
Ni  0.842  0.650  0.492
Ni  0.158  0.350  0.508
Ni  0.158  0.650  0.809

Properties
- crystal system = cubic
- formation energy (no corrections) (meV per atom) = -46
- volume (A^3/atom) = 13.64

[3]
VASP calculation (PBE) on a relaxed structure of ReRuAu2.

Lattice parameters (Å, degrees): 4.999 4.999 2.835 90.00 90.00 115.16
Positions (direct):
Au  0.000  0.000  0.000
Au  0.500  0.500  0.000
Re  0.500  0.000  0.500
Ru  0.000  0.500  0.500

Properties
- E above lowest polymorph (eV per atom) = 0.4256
- ΔH_f (0 K) (eV/atom) = 0.585
- crystal system = orthorhombic
- volume (A^3/atom) = 16.03

[4]
VASP calculation (PBE) on a relaxed structure of Ac2YSi3Pd12.

Lattice parameters (Å, degrees): 7.006 7.006 7.006 83.94 83.94 83.94
Positions (direct):
Ac  0.633  0.633  0.633
Ac  0.367  0.367  0.367
Y  0.000  0.000  0.000
Si  0.500  0.000  0.000
Si  0.000  0.500  0.000
Si  0.000  0.000  0.500
Pd  0.359  0.359  0.925
Pd  0.821  0.821  0.324
Pd  0.324  0.821  0.821
Pd  0.925  0.359  0.359
Pd  0.821  0.324  0.821
Pd  0.359  0.925  0.359
Pd  0.641  0.641  0.075
Pd  0.179  0.179  0.676
Pd  0.676  0.179  0.179
Pd  0.075  0.641  0.641
Pd  0.179  0.676  0.179
Pd  0.641  0.075  0.641

Properties
- crystal system = trigonal
- formation energy (no corrections) (meV per atom) = -502
- volume (A^3/atom) = 18.81

[5]
VASP calculation (PBE) on a relaxed structure of Th3MgFe.

Lattice parameters (Å, degrees): 5.257 5.257 5.257 90.00 90.00 90.00
Positions (direct):
Mg  0.500  0.500  0.500
Fe  0.000  0.000  0.000
Th  0.000  0.500  0.000
Th  0.000  0.000  0.500
Th  0.500  0.000  0.000

Properties
- ΔH_f (0 K) (eV/atom) = 0.002
- crystal system = cubic
- volume (A^3/atom) = 29.06

[6]
VASP calculation (PBE) on a relaxed structure of Ce2LuTh.

Lattice parameters (Å, degrees): 3.483 3.483 9.729 90.00 90.00 90.00
Positions (direct):
Lu  0.500  0.500  0.000
Ce  0.000  0.000  0.746
Ce  0.000  0.000  0.254
Th  0.500  0.500  0.500

Properties
- E above lowest polymorph (eV per atom) = 0.0000
- ΔH_f (0 K) (eV/atom) = 0.061
- crystal system = tetragonal
- volume (A^3/atom) = 29.51